1.
This record from the Open Quantum Materials Database describes a relaxed structure of LuBeSi. The functional is PBE.

a b c (Å): 6.302 6.302 6.302
angles (deg): 90.00 90.00 90.00
Space group F-43m (No. 216)
Asymmetric unit:
Lu 0.000 0.000 0.000 [4 per cell]
Be 0.250 0.250 0.750 [4 per cell]
Si 0.250 0.250 0.250 [4 per cell]

Results
* raw total energy: -4.12 eV/atom
* mass density: 5.63 g cm⁻³

***

2.
This record from the Open Quantum Materials Database describes a relaxed structure of ScZnFeCu. The functional is PBE.

a b c (Å): 6.101 6.101 6.101
angles (deg): 90.00 90.00 90.00
Space group F-43m (No. 216)
Asymmetric unit:
Sc 0.000 0.000 0.000 [4 per cell]
Zn 0.250 0.250 0.750 [4 per cell]
Fe 0.000 0.000 0.500 [4 per cell]
Cu 0.250 0.250 0.250 [4 per cell]

Results
* offset from the most stable computed form: 0 meV per atom
* energy relative to the elements: -0.021 eV/atom
* mass density: 6.72 g cm⁻³

***

3.
This record from the Open Quantum Materials Database describes a relaxed structure of YCu2Si2. The functional is PBE.

a b c (Å): 3.968 3.968 9.969
angles (deg): 90.00 90.00 90.00
Space group I4/mmm (No. 139)
Asymmetric unit:
Y 0.000 0.000 0.000 [2 per cell]
Cu 0.000 0.500 0.250 [4 per cell]
Si 0.000 0.000 0.383 [4 per cell]

Results
* raw total energy: -5.54 eV/atom
* mass density: 5.76 g cm⁻³

***

Which of these has the highest mass density?
ScZnFeCu